Entry 1:
A geometry-optimized Ca3NdCu structure, computed with PBE.

Structure (extended XYZ):
```
5
Lattice="5.621 0.000 0.000 0.000 5.621 0.000 0.000 0.000 5.621" Properties=species:S:1:pos:R:3 pbc="T T T"
Ca 2.811 0.000 0.000
Ca 0.000 2.811 0.000
Ca 0.000 0.000 2.811
Cu 0.000 0.000 0.000
Nd 2.811 2.811 2.811
```

***

Entry 2:
A geometry-optimized CaNdCu3 structure, computed with PBE.

Structure (extended XYZ):
```
10
Lattice="3.865 0.000 -0.532 0.000 4.313 0.000 -0.184 0.000 12.963" Properties=species:S:1:pos:R:3 pbc="T T T"
Cu 2.012 3.235 0.315
Cu 2.345 3.235 2.727
Ca 0.711 3.235 5.165
Cu 1.166 3.235 8.469
Ca 2.970 1.078 7.267
Cu 1.336 1.078 9.704
Cu 1.668 1.078 12.117
Cu 2.515 1.078 3.962
Nd 3.434 3.235 10.641
Nd 0.247 1.078 1.791
```

***

DFT total energy readings, ordered: -2.844; -3.988 eV/atom
Calculated formation energy readings, ordered: 0.13; -0.18 eV per atom
Volume readings, ordered: 35.52; 21.56 Å³ per atom